[1]
The following is a PBE-GGA calculation of a relaxed Ta2Nb5H12 crystal, from Alexandria via LeMat-Bulk.

Results
- total energy (eV per atom) = -6.067
- space group = C2/m
- crystal system = monoclinic

Cell lengths 5.422, 5.837, 6.156 Å; angles 100.76, 90.00, 117.68 degrees
Sites, in units of the cell vectors:
Nb 0.308 0.616 0.633
Nb 0.000 0.000 0.500
H 0.505 0.011 0.766
Ta 0.247 0.000 0.000
H 0.094 0.694 0.417
H 0.510 0.624 0.909
H 0.886 0.376 0.091
H 0.600 0.694 0.417
H 0.490 0.376 0.091
Ta 0.753 0.000 0.000
Nb 0.281 0.561 0.182
H 0.906 0.306 0.583
H 0.061 0.123 0.822
Nb 0.692 0.384 0.367
Nb 0.719 0.439 0.818
H 0.114 0.624 0.909
H 0.495 0.989 0.234
H 0.400 0.306 0.583
H 0.939 0.877 0.178

---

[2]
The following is a PBE-GGA calculation of a relaxed MgCoSN2 crystal, from Alexandria via LeMat-Bulk.

Results
- energy above the lowest structure with this stoichiometry (kcal/mol of atoms) = 25.94
- space group = P4/mmm
- crystal system = tetragonal

Cell lengths 3.845, 3.845, 5.276 Å; angles 90.00, 90.00, 90.00 degrees
Sites, in units of the cell vectors:
S 0.000 0.000 0.500
N 0.500 0.000 0.000
Co 0.500 0.500 0.500
N 0.000 0.500 0.000
Mg 0.000 0.000 0.000

---

[3]
The following is a PBE-GGA calculation of a relaxed Sc2BeCdSn crystal, from Alexandria via LeMat-Bulk.

Results
- total energy (eV per atom) = -3.428
- space group = P4/mmm
- crystal system = tetragonal

Cell lengths 5.376, 5.229, 5.376 Å; angles 90.00, 90.00, 90.00 degrees
Sites, in units of the cell vectors:
Sn 0.000 0.000 0.000
Sc 0.000 0.000 0.500
Cd 0.000 0.500 0.000
Be 0.500 0.500 0.500
Sc 0.500 0.000 0.000

---

[4]
The following is a PBE-GGA calculation of a relaxed Mn2IrPb crystal, from Alexandria via LeMat-Bulk.

Results
- total energy (eV per atom) = -7.382
- space group = F-43m
- crystal system = cubic

Cell lengths 4.561, 4.561, 4.561 Å; angles 60.00, 60.00, 60.00 degrees
Sites, in units of the cell vectors:
Pb 0.750 0.750 0.750
Mn 0.250 0.250 0.250
Mn 0.000 0.000 0.000
Ir 0.500 0.500 0.500

---

[5]
The following is a PBE-GGA calculation of a relaxed KZrTa2 crystal, from Alexandria via LeMat-Bulk.

Results
- energy above the lowest structure with this stoichiometry (kcal/mol of atoms) = 3.77
- space group = Cmmm
- crystal system = orthorhombic

Cell lengths 2.933, 2.933, 11.475 Å; angles 90.00, 90.00, 109.37 degrees
Sites, in units of the cell vectors:
Ta 0.000 0.000 0.462
K 0.500 0.500 0.750
Ta 0.000 0.000 0.038
Zr 0.500 0.500 0.250

---

[6]
The following is a PBE-GGA calculation of a relaxed MgCoRe crystal, from Alexandria via LeMat-Bulk.

Results
- energy above the lowest structure with this stoichiometry (kcal/mol of atoms) = 2.55
- space group = Cmmm
- crystal system = orthorhombic

Cell lengths 3.995, 3.913, 5.937 Å; angles 90.00, 70.34, 90.00 degrees
Sites, in units of the cell vectors:
Re 0.550 0.144 0.350
Mg 0.735 0.644 0.981
Co 0.416 0.644 0.618
Re 0.919 0.144 0.612
Co 0.053 0.644 0.344
Mg 0.235 0.144 0.981

---

[7]
The following is a PBE-GGA calculation of a relaxed VIr2Rh2 crystal, from Alexandria via LeMat-Bulk.

Results
- total energy (eV per atom) = -8.592
- space group = C2/m
- crystal system = monoclinic

Cell lengths 6.028, 4.689, 4.689 Å; angles 48.74, 49.92, 49.92 degrees
Sites, in units of the cell vectors:
Rh 0.807 0.797 0.797
V 0.000 0.000 0.000
Ir 0.593 0.605 0.605
Ir 0.407 0.395 0.395
Rh 0.193 0.203 0.203

---

[8]
The following is a PBE-GGA calculation of a relaxed AcDy3O crystal, from Alexandria via LeMat-Bulk.

Results
- total energy (eV per atom) = -5.543
- space group = Pm-3m
- crystal system = cubic

Cell lengths 5.053, 5.053, 5.053 Å; angles 90.00, 90.00, 90.00 degrees
Sites, in units of the cell vectors:
Dy 0.000 0.500 0.000
Dy 0.500 0.000 0.000
O 0.000 0.000 0.000
Ac 0.500 0.500 0.500
Dy 0.000 0.000 0.500

---

For reference, density by record: 8.26, 3.05, 3.63, 12.61, 8.78, 10.24, 15.11, 9.40 Mg/m³.